Entry 1:
A plane-wave DFT calculation with PBE was carried out for a geometry-optimized Zr2TiInN structure.

Cell and atoms, written as POSCAR:
```
Zr2TiInN
1.0
4.608 0.000 0.000
0.000 4.608 0.000
0.000 0.000 4.092
N Ti Zr In
1 1 2 1
Direct
0.000 0.000 0.000
0.000 0.000 0.500
0.000 0.500 0.000
0.500 0.000 0.000
0.500 0.500 0.500
```

space-group type: P4/mmm, No. 123
uncorrected formation energy: -876 meV/atom
DOS(E_F): 3.8 states/eV/cell

---

Entry 2:
A plane-wave DFT calculation with PBE was carried out for a geometry-optimized PmSc3Al8 structure.

Cell and atoms, written as POSCAR:
```
PmSc3Al8
1.0
5.432 0.000 0.000
-2.716 4.704 0.000
0.000 0.000 8.916
Pm Sc Al
1 3 8
Direct
0.000 0.000 0.567
0.667 0.333 0.426
0.667 0.333 0.066
0.000 0.000 0.934
0.333 0.667 0.498
0.333 0.667 0.003
0.505 0.009 0.757
0.505 0.495 0.757
0.991 0.495 0.757
0.162 0.324 0.245
0.162 0.838 0.245
0.676 0.838 0.245
```

space-group type: P3m1, No. 156
DOS(E_F): 6.9 states/eV/cell
energy of formation from the pure elements: -0.47 eV per atom
energy above the most stable polymorph in this dataset: 6.1 meV/atom

---

Entry 3:
A plane-wave DFT calculation with PBE was carried out for a geometry-optimized AcNd3Ga2 structure.

Cell and atoms, written as POSCAR:
```
AcNd3Ga2
1.0
4.876 0.000 0.000
0.000 8.354 0.000
0.000 0.000 9.051
Ac Nd Ga
2 6 4
Direct
0.500 0.523 0.588
0.500 0.023 0.412
0.000 0.474 0.921
0.000 0.974 0.079
0.500 0.640 0.165
0.500 0.140 0.835
0.000 0.357 0.325
0.000 0.857 0.675
0.500 0.773 0.864
0.500 0.273 0.136
0.000 0.234 0.646
0.000 0.734 0.354
```

space-group type: Pmc2_1, No. 26
DOS(E_F): 13.9 states/eV/cell
energy of formation from the pure elements: -0.37 eV per atom
energy above the most stable polymorph in this dataset: 0.0 meV/atom

---

Entry 4:
A plane-wave DFT calculation with PBE was carried out for a geometry-optimized LiSm2Ir2 structure.

Cell and atoms, written as POSCAR:
```
LiSm2Ir2
1.0
-0.193 -3.096 4.504
4.153 -1.012 -3.838
2.671 6.193 4.372
Li Sm Ir
2 4 4
Direct
0.867 0.000 0.250
0.133 0.000 0.750
0.490 0.291 0.149
0.199 0.709 0.351
0.510 0.709 0.851
0.801 0.291 0.649
0.715 0.730 0.488
0.985 0.270 0.012
0.285 0.270 0.512
0.015 0.730 0.988
```

space-group type: C2/c, No. 15
DOS(E_F): 3.8 states/eV/cell
energy of formation from the pure elements: -0.57 eV per atom
energy above the most stable polymorph in this dataset: 26.0 meV/atom

---

Entry 5:
A plane-wave DFT calculation with PBE was carried out for a geometry-optimized CrInTe2N structure.

Cell and atoms, written as POSCAR:
```
CrInTe2N
1.0
5.491 0.000 0.000
0.000 5.491 0.000
0.000 0.000 3.563
Cr N Te In
1 1 2 1
Direct
0.000 0.000 0.000
0.000 0.000 0.500
0.000 0.500 0.000
0.500 0.000 0.000
0.500 0.500 0.500
```

space-group type: P4/mmm, No. 123
uncorrected formation energy: 105 meV/atom
DOS(E_F): 5.4 states/eV/cell
energy above the most stable polymorph in this dataset: 0.0 meV/atom

---

Entry 6:
A plane-wave DFT calculation with PBE was carried out for a geometry-optimized AgPIrO2 structure.

Cell and atoms, written as POSCAR:
```
AgPIrO2
1.0
3.752 0.000 0.000
0.000 3.752 0.000
0.000 0.000 5.386
P Ir O Ag
1 1 2 1
Direct
0.000 0.000 0.500
0.000 0.000 0.000
0.000 0.500 0.000
0.500 0.000 0.000
0.500 0.500 0.500
```

space-group type: P4/mmm, No. 123
uncorrected formation energy: -110 meV/atom
DOS(E_F): 1.5 states/eV/cell
energy above the most stable polymorph in this dataset: 0.0 meV/atom